No. 1
Ce3AlZn2: relaxed, PBE.

Unit cell a=3.5576 b=3.5576 c=11.2936 alpha=90.00 beta=90.00 gamma=90.00
With the nearest neighbours (Å) after each atom.
Space group P4/mmm (No. 123)
Asymmetric unit:
Ce1 0.0000 0.0000 0.0000 [1 per cell]  8 Zn 3.11
Ce2 0.0000 0.0000 0.3290 [2 per cell]  4 Zn 3.15, 4 Al 3.17
Al1 0.5000 0.5000 0.5000 [1 per cell]  8 Ce 3.17
Zn1 0.5000 0.5000 0.1617 [2 per cell]  8 Ce 3.11-3.15

## Properties
ΔE_f = -119 kJ/mol of formula units
theoretical density = 6.7 g cm⁻³
magnetization = 1.4 μB per formula unit

No. 2
CoH2Pt2: relaxed, PBE.

Unit cell a=5.2453 b=5.2453 c=3.6953 alpha=90.00 beta=90.00 gamma=90.00
With the nearest neighbours (Å) after each atom.
Space group P4/mbm (No. 127)
Asymmetric unit:
Co1 0.0000 0.0000 0.0000 [2 per cell]  4 H 1.90
H1 0.1921 0.3079 0.0000 [4 per cell]  2 Pt 1.85, 2 Co 1.90
Pt1 0.1867 0.3133 0.5000 [4 per cell]  2 H 1.85

## Properties
excess energy over the best structure of this formula in the dataset = 0 meV/atom
theoretical density = 14.7 g cm⁻³
magnetization = 0.3 μB per formula unit

No. 3
LaTm3Rh4: relaxed, PBE.

Unit cell a=4.8432 b=4.8432 c=23.9666 alpha=90.00 beta=90.00 gamma=120.00
With the nearest neighbours (Å) after each atom.
Space group R-3m (No. 166, hexagonal axes)
Asymmetric unit:
La1 0.0000 0.0000 0.0000 [3 per cell]  8 Rh 3.00-3.05
Tm1 0.0000 0.0000 0.2468 [6 per cell]  8 Rh 2.86-3.16
Tm2 0.0000 0.0000 0.5000 [3 per cell]  8 Rh 2.91-2.95
Rh1 0.0000 0.0000 0.1274 [6 per cell]  7 Tm 2.86-2.96, 1 La 3.05
Rh2 0.0000 0.0000 0.3786 [6 per cell]  5 Tm 2.91-3.16, 3 La 3.00

## Properties
ΔE_f = -667 kJ/mol of formula units
theoretical density = 10.8 g cm⁻³
magnetization = 0.0 μB per formula unit

No. 4
HoTlNiAg: relaxed, PBE.

Unit cell a=6.8165 b=6.8165 c=6.8165 alpha=90.00 beta=90.00 gamma=90.00
With the nearest neighbours (Å) after each atom.
Space group F-43m (No. 216)
Asymmetric unit:
Ho1 0.0000 0.0000 0.0000 [4 per cell]  4 Ni 2.95, 4 Ag 2.95
Tl1 0.0000 0.0000 0.5000 [4 per cell]  4 Ag 2.95, 4 Ni 2.95
Ni1 0.2500 0.2500 0.7500 [4 per cell]  4 Tl 2.95, 4 Ho 2.95
Ag1 0.2500 0.2500 0.2500 [4 per cell]  4 Ho 2.95, 4 Tl 2.95

## Properties
ΔE_f = -57 kJ/mol of formula units
theoretical density = 11.2 g cm⁻³
magnetization = 0.0 μB per formula unit

No. 5
CoTcNiRh: relaxed, PBE.

Unit cell a=5.8814 b=5.8814 c=5.8814 alpha=90.00 beta=90.00 gamma=90.00
With the nearest neighbours (Å) after each atom.
Space group F-43m (No. 216)
Asymmetric unit:
Co1 0.0000 0.0000 0.0000 [4 per cell]  4 Rh 2.55, 4 Tc 2.55
Tc1 0.2500 0.2500 0.2500 [4 per cell]  4 Co 2.55, 4 Ni 2.55
Ni1 0.0000 0.0000 0.5000 [4 per cell]  4 Tc 2.55, 4 Rh 2.55
Rh1 0.2500 0.2500 0.7500 [4 per cell]  4 Co 2.55, 4 Ni 2.55

## Properties
ΔE_f = 64 kJ/mol of formula units
theoretical density = 10.4 g cm⁻³
magnetization = 1.8 μB per formula unit

No. 6
MnAg2PbS4: relaxed, PBE.

Unit cell a=7.9661 b=8.7376 c=11.0582 alpha=90.00 beta=90.00 gamma=90.00
With the nearest neighbours (Å) after each atom.
Space group Fmm2 (No. 42)
Asymmetric unit:
Mn1 0.0000 0.0000 0.0000 [4 per cell]  4 S 2.18-2.25
Ag1 0.2500 0.2500 0.2616 [8 per cell]  4 S 2.55-2.56
Pb1 0.0000 0.0000 0.5341 [4 per cell]  4 S 2.76-2.83
S1 0.0000 0.1959 0.1227 [8 per cell]  1 Mn 2.18
S2 0.2279 0.0000 0.8793 [8 per cell]  1 Mn 2.25

## Properties
theoretical density = 5.2 g cm⁻³
magnetization = 3.0 μB per formula unit

No. 7
Cs2CdSe: relaxed, PBE.

Unit cell a=10.2410 b=10.2410 c=7.9937 alpha=90.00 beta=90.00 gamma=90.00
With the nearest neighbours (Å) after each atom.
Space group I-42d (No. 122)
Asymmetric unit:
Cs1 0.1955 0.2500 0.1250 [8 per cell]  2 Se 3.40
Cd1 0.0000 0.0000 0.5000 [4 per cell]  2 Se 4.00, 8 Cs 4.16-4.42
Se1 0.0000 0.0000 0.0000 [4 per cell]  4 Cs 3.40

## Properties
excess energy over the best structure of this formula in the dataset = 124 meV/atom
theoretical density = 3.6 g cm⁻³
magnetization = 0.0 μB per formula unit

No. 8
YSeN2O: relaxed, PBE.

Unit cell a=4.7371 b=4.7371 c=4.2195 alpha=90.00 beta=90.00 gamma=90.00
With the nearest neighbours (Å) after each atom.
Space group P4/mmm (No. 123)
Asymmetric unit:
Y1 0.0000 0.0000 0.0000 [1 per cell]  2 O 2.11
Se1 0.5000 0.5000 0.5000 [1 per cell]  8 N 3.17, 4 O 3.35
N1 0.0000 0.5000 0.0000 [2 per cell]  2 Y 2.37
O1 0.0000 0.0000 0.5000 [1 per cell]  2 Y 2.11

## Properties
theoretical density = 3.7 g cm⁻³
magnetization = 1.8 μB per formula unit

Short version: E = -4.220 -5.105 -6.833 -4.043 -7.485 -4.660 -2.027 -5.522 eV/atom, in the order given.